# 1
This record from the Alexandria database describes a relaxed KThBr6 crystal. The functional is GGA-PBE. Values from VASP.

Quantum ESPRESSO input file:
```
&SYSTEM
  ibrav = 0, nat = 8, ntyp = 3
/
ATOMIC_SPECIES
Br 79.90 Br.upf
Th 232.04 Th.upf
K 39.10 K.upf
ATOMIC_POSITIONS angstrom
Br 3.977 2.494 5.560
Br 0.835 4.620 5.560
Br 0.426 0.630 5.039
Br -0.294 2.951 1.820
Br 3.257 4.814 2.341
Br 2.848 0.825 1.820
Th 1.842 2.722 3.690
K 0.000 0.000 0.000
CELL_PARAMETERS angstrom
6.688 0.420 -0.069
-2.098 6.364 -0.069
-0.906 -1.340 7.517
```

Spin magnetization, μB/cell: 0.5
Energy relative to the elements, uncorrected, eV/atom: -1.419
Symmetry: C2/m (12)

# 2
This record from the Alexandria database describes a relaxed NbAg3Rh crystal. The functional is GGA-PBE. Values from VASP.

Quantum ESPRESSO input file:
```
&SYSTEM
  ibrav = 0, nat = 5, ntyp = 3
/
ATOMIC_SPECIES
Ag 107.87 Ag.upf
Rh 102.91 Rh.upf
Nb 92.91 Nb.upf
ATOMIC_POSITIONS angstrom
Ag 2.520 0.000 0.000
Ag 0.000 2.520 0.000
Ag 0.000 0.000 2.520
Rh 2.520 2.520 2.520
Nb 0.000 0.000 0.000
CELL_PARAMETERS angstrom
5.040 0.000 0.000
0.000 5.040 0.000
0.000 0.000 5.040
```

Spin magnetization, μB/cell: 2.9
Symmetry: Pm-3m (221)
Energy relative to the elements, eV/atom: 1.894

# 3
This record from the Alexandria database describes a relaxed SrMg3Sc crystal. The functional is GGA-PBE. Values from VASP.

Quantum ESPRESSO input file:
```
&SYSTEM
  ibrav = 0, nat = 5, ntyp = 3
/
ATOMIC_SPECIES
Sc 44.96 Sc.upf
Mg 24.30 Mg.upf
Sr 87.62 Sr.upf
ATOMIC_POSITIONS angstrom
Sc 0.916 -4.514 -1.880
Mg 2.609 -1.080 -0.524
Mg -0.905 -0.946 -2.556
Mg -0.789 -2.487 1.200
Sr 0.000 0.000 0.000
CELL_PARAMETERS angstrom
-1.578 -4.975 2.400
-1.810 -1.892 -5.113
5.219 -2.160 -1.047
```

Spin magnetization, μB/cell: 0.9
Symmetry: Pm-3m (221)
Energy relative to the elements, eV/atom: 1.156

# 4
This record from the Alexandria database describes a relaxed LaSi crystal. The functional is GGA-PBE. Values from VASP.

Quantum ESPRESSO input file:
```
&SYSTEM
  ibrav = 0, nat = 6, ntyp = 2
/
ATOMIC_SPECIES
La 138.91 La.upf
Si 28.09 Si.upf
ATOMIC_POSITIONS angstrom
La 0.000 7.976 1.495
La 0.000 4.965 2.337
La 0.000 8.790 4.974
Si 0.000 12.719 3.639
Si 0.000 12.609 6.255
Si 0.000 5.447 5.744
CELL_PARAMETERS angstrom
2.002 5.815 -0.039
-2.002 5.815 -0.039
0.000 2.068 6.455
```

Spin magnetization, μB/cell: 0.0
Energy relative to the elements, uncorrected, eV/atom: -0.389
Symmetry: Cm (8)